[1]
The following is a DFT calculation (PBE) of a relaxed structure of AcTm2Zn.

Summary:
SG ... R-3m, No. 166
Polymorph energy (0 for the lowest one) ... 0.2543 eV/atom

a b c (Å): 3.570 3.570 11.559
angles (deg): 81.12 81.12 60.00
Fractional coordinates of all 4 atoms:
Tm: 0.895 0.895 0.314
Tm: 0.105 0.105 0.686
Ac: 0.000 0.000 0.000
Zn: 0.500 0.500 0.500



[2]
The following is a DFT calculation (PBE) of a relaxed structure of AcTm2Zn.

Summary:
SG ... P4/mmm, No. 123
Polymorph energy (0 for the lowest one) ... 0.0000 eV/atom

a b c (Å): 3.614 3.614 9.013
angles (deg): 90.00 90.00 90.00
Fractional coordinates of all 4 atoms:
Tm: 0.000 0.000 0.811
Tm: 0.000 0.000 0.189
Zn: 0.500 0.500 0.000
Ac: 0.500 0.500 0.500



Formation enthalpy at 0 K in kcal/mol of atoms, matching the order above: 3.11; -2.76
DOS at the Fermi energy in states/eV/f.u., matching the order above: 4.218; 4.177